Density functional theory data (GGA-PBE) for a relaxed BaIrCSe2 crystal.

Calculated values
ΔE_f (raw) in eV/atom: 2.5126
Raw total energy in eV/atom: -2.88
Size of the total moment in μB/cell: 0.00

```
data_BaIrCSe2
_chemical_formula_sum 'Ba1 Ir1 C1 Se2'
_space_group_name_H-M_alt 'P 4/m m m'
_space_group_IT_number 123
_space_group_name_Hall '-P 4 2'
_cell_length_a 5.8419
_cell_length_b 5.8419
_cell_length_c 4.8140
_cell_angle_alpha 90.00
_cell_angle_beta 90.00
_cell_angle_gamma 90.00
loop_
_atom_site_label
_atom_site_type_symbol
_atom_site_fract_x
_atom_site_fract_y
_atom_site_fract_z
_atom_site_occupancy
Ba1 Ba 0.0000 0.0000 0.0000 1
Ir1 Ir 0.5000 0.5000 0.5000 1
C1 C 0.0000 0.0000 0.5000 1
Se1 Se 0.0000 0.5000 0.0000 1
```

***

Density functional theory data (GGA-PBE) for a relaxed BaSi2IrC crystal.

Calculated values
ΔE_f (raw) in eV/atom: 0.6162
Raw total energy in eV/atom: -5.55
Size of the total moment in μB/cell: 0.00

```
data_BaSi2IrC
_chemical_formula_sum 'Ba1 Si2 Ir1 C1'
_space_group_name_H-M_alt 'P 4/m m m'
_space_group_IT_number 123
_space_group_name_Hall '-P 4 2'
_cell_length_a 5.1373
_cell_length_b 5.1373
_cell_length_c 3.9038
_cell_angle_alpha 90.00
_cell_angle_beta 90.00
_cell_angle_gamma 90.00
loop_
_atom_site_label
_atom_site_type_symbol
_atom_site_fract_x
_atom_site_fract_y
_atom_site_fract_z
_atom_site_occupancy
Ba1 Ba 0.0000 0.0000 0.0000 1
Si1 Si 0.0000 0.5000 0.5000 1
Ir1 Ir 0.5000 0.5000 0.5000 1
C1 C 0.5000 0.5000 0.0000 1
```